DFT (PBE-GGA) results for a relaxed structure of Ce3H2Pb.

abc: 6.2661 6.2661 6.2661
angles: 134.68 134.68 66.02
Fractional positions:
Ce: 0.0000 0.0000 0.0000
Ce: 0.2500 0.7500 0.5000
Ce: 0.7500 0.2500 0.5000
H: 0.2165 0.2165 0.0000
H: 0.7835 0.7835 0.0000
Pb: 0.5000 0.5000 0.0000

Output
Mass density   8.54 g cm⁻³
Total DFT energy (no corrections)   -5.099 eV per atom